# Ti2Ni2Cl2O5

Ti2Ni2Cl2O5 after structural relaxation (PBE with a Hubbard U, Alexandria via LeMat-Bulk).

Properties
Its total energy is -69.0 eV per formula unit.

CIF file:
```
data_Ti2Ni2Cl2O5
_space_group_name_H-M_alt 'I 4/m m m'
_space_group_IT_number 139
_space_group_name_Hall '-I 4 2'
_cell_length_a 3.6337
_cell_length_b 3.6337
_cell_length_c 25.3783
_cell_angle_alpha 90.00
_cell_angle_beta 90.00
_cell_angle_gamma 90.00
loop_
_atom_site_label
_atom_site_fract_x
_atom_site_fract_y
_atom_site_fract_z
Ti1 0.0000 0.0000 0.0716
Ni1 0.0000 0.0000 0.3542
Cl1 0.0000 0.0000 0.1943
O1 0.0000 0.0000 0.0000
O2 0.0000 0.5000 0.0950
```